Arrangement a

GGA-PBE W3Se, relaxed; symmetry = Pmmn; D(E_F) = 2.339 states/eV/f.u.; total moment = 0.00 μB/f.u.
1.0
4.630 0.000 0.000
0.000 5.299 0.000
0.000 0.000 5.598
W Se
6 2
Direct
0.250 0.013 0.150 W
0.250 0.250 0.721 W
0.250 0.487 0.150 W
0.750 0.513 0.850 W
0.750 0.750 0.279 W
0.750 0.987 0.850 W
0.250 0.750 0.577 Se
0.750 0.250 0.423 Se

---

Arrangement b

GGA-PBE W3Se, relaxed; symmetry = P2/m; D(E_F) = 2.613 states/eV/f.u.; total moment = 0.00 μB/f.u.
1.0
2.960 0.000 0.000
0.000 4.241 0.000
-0.020 0.000 5.199
W Se
3 1
Direct
0.000 0.000 0.000 W
0.499 0.500 0.244 W
0.501 0.500 0.756 W
0.000 0.000 0.500 Se

---

Arrangement c

GGA-PBE W3Se, relaxed; symmetry = Fm-3m; D(E_F) = 2.708 states/eV/f.u.; total moment = 0.00 μB/f.u.
1.0
0.000 3.201 3.201
3.201 0.000 3.201
3.201 3.201 0.000
W Se
3 1
Direct
0.000 0.000 0.000 W
0.250 0.250 0.250 W
0.750 0.750 0.750 W
0.500 0.500 0.500 Se

---

Arrangement d

GGA-PBE W3Se, relaxed; symmetry = Cmcm; D(E_F) = 2.559 states/eV/f.u.; total moment = 0.00 μB/f.u.
1.0
3.660 -4.191 0.000
3.660 4.191 0.000
0.000 0.000 4.436
W Se
6 2
Direct
0.097 0.288 0.750 W
0.189 0.811 0.750 W
0.288 0.097 0.250 W
0.712 0.903 0.750 W
0.811 0.189 0.250 W
0.903 0.712 0.250 W
0.376 0.624 0.250 Se
0.624 0.376 0.750 Se

---

Consider the structures shown above. The least stable of them is arrangement c.